3
Lattice="0.000 3.415 3.415 3.415 0.000 3.415 3.415 3.415 0.000" Properties=species:S:1:pos:R:3 comment="LiPmGa, optimized geometry, DFT PBE" polymorph_energy_mev_per_atom=309 mass_density_g_cm3=4.62 dft_energy_ev_per_cell=-9.11 pbc="T T T"
Ga 3.415 3.415 3.415
Li 0.000 0.000 0.000
Pm 1.707 1.707 1.707